Density functional theory data (GGA-PBE) for ScCoSb2 after structural relaxation.

```
4
Lattice="-1.612 2.022 6.314 1.612 -2.022 6.314 1.612 2.022 -6.314" Properties=species:S:1:pos:R:3 pbc="T T T"
Sc 0.000 0.000 0.000
Co 1.612 0.000 2.800
Sb 0.000 0.000 4.861
Sb 0.000 2.022 2.086
```

The total magnetization is 0.0 μB per formula unit. The calculation puts the total energy at -0.210 Ha/atom. Its formation energy from raw total energies is -0.29 eV per atom. The volume is 82.3 Å³/f.u.